No. 1
The following is a PBE-GGA calculation of a geometry-optimized Ca2Be2Sn structure, from Alexandria via LeMat-Bulk.

```
data_Ca2Be2Sn
_space_group_name_H-M_alt 'I 4/m m m'
_space_group_IT_number 139
_space_group_name_Hall '-I 4 2'
_cell_length_a 4.4959
_cell_length_b 4.4959
_cell_length_c 11.3800
_cell_angle_alpha 90.00
_cell_angle_beta 90.00
_cell_angle_gamma 90.00
loop_
_atom_site_label
_atom_site_type_symbol
_atom_site_fract_x
_atom_site_fract_y
_atom_site_fract_z
Ca1 Ca 0.0000 0.5000 0.2500
Be1 Be 0.0000 0.0000 0.0883
Sn1 Sn 0.0000 0.0000 0.5000
```

- Energy: -2.676 eV per atom
- Energy above the most stable polymorph in this dataset: 450.5 meV per atom
- Formation energy from the elements: 415 meV per atom
- Total moment: 0.000 μB/atom

***

No. 2
The following is a PBE-GGA calculation of a geometry-optimized CaBeSn3 structure, from Alexandria via LeMat-Bulk.

```
data_CaBeSn3
_space_group_name_H-M_alt 'P m -3 m'
_space_group_IT_number 221
_space_group_name_Hall '-P 4 2 3'
_cell_length_a 5.0512
_cell_length_b 5.0512
_cell_length_c 5.0512
_cell_angle_alpha 90.00
_cell_angle_beta 90.00
_cell_angle_gamma 90.00
loop_
_atom_site_label
_atom_site_type_symbol
_atom_site_fract_x
_atom_site_fract_y
_atom_site_fract_z
Ca1 Ca 0.0000 0.0000 0.0000
Be1 Be 0.5000 0.5000 0.5000
Sn1 Sn 0.0000 0.5000 0.5000
```

- Energy: -3.504 eV per atom
- Energy above the most stable polymorph in this dataset: 0.0 meV per atom
- Formation energy from the elements: 43 meV per atom
- Total moment: 0.000 μB/atom

***

No. 3
The following is a PBE-GGA calculation of a geometry-optimized SrCaBe3 structure, from Alexandria via LeMat-Bulk.

```
data_SrCaBe3
_space_group_name_H-M_alt 'P m -3 m'
_space_group_IT_number 221
_space_group_name_Hall '-P 4 2 3'
_cell_length_a 5.2618
_cell_length_b 5.2618
_cell_length_c 5.2618
_cell_angle_alpha 90.00
_cell_angle_beta 90.00
_cell_angle_gamma 90.00
loop_
_atom_site_label
_atom_site_type_symbol
_atom_site_fract_x
_atom_site_fract_y
_atom_site_fract_z
Sr1 Sr 0.0000 0.0000 0.0000
Ca1 Ca 0.5000 0.5000 0.5000
Be1 Be 0.0000 0.0000 0.5000
```

- Energy: -1.405 eV per atom
- Energy above the most stable polymorph in this dataset: 264.6 meV per atom
- Formation energy from the elements: 1567 meV per atom
- Total moment: 0.000 μB/atom

***

No. 4
The following is a PBE-GGA calculation of a geometry-optimized SrCaBe2 structure, from Alexandria via LeMat-Bulk.

```
data_SrCaBe2
_space_group_name_H-M_alt 'R -3 m'
_space_group_IT_number 166
_space_group_name_Hall '-R 3 2"'
_cell_length_a 4.7526
_cell_length_b 4.7526
_cell_length_c 16.2531
_cell_angle_alpha 90.00
_cell_angle_beta 90.00
_cell_angle_gamma 120.00
loop_
_atom_site_label
_atom_site_type_symbol
_atom_site_fract_x
_atom_site_fract_y
_atom_site_fract_z
Sr1 Sr 0.0000 0.0000 0.0000
Ca1 Ca 0.0000 0.0000 0.5000
Be1 Be 0.0000 0.0000 0.1868
```

- Energy: -2.323 eV per atom
- Energy above the most stable polymorph in this dataset: 171.9 meV per atom
- Formation energy from the elements: 461 meV per atom
- Total moment: 0.000 μB/atom